## Rb3Pu2O4 (PBE-GGA)

Data for an optimized crystal structure of Rb3Pu2O4.

- DOS(E_F): 15.61 states/eV per cell
- Electronic total energy: -7.607 eV/atom
- Magnetization: 10.03 μB/f.u.
- Symmetry: No. 12
- E_form (uncorrected): -17.1 eV per formula unit

a = 4.012 Å, b = 7.047 Å, c = 8.404 Å
α = 83.49°, β = 76.19°, γ = 73.46°
Sites, in units of the cell vectors:
Pu: 0.387 0.838 0.388
Pu: 0.613 0.162 0.612
Rb: 0.195 0.419 0.191
Rb: 0.000 0.000 0.000
Rb: 0.805 0.581 0.809
O: 0.559 0.726 0.156
O: 0.186 0.996 0.632
O: 0.441 0.274 0.844
O: 0.814 0.004 0.368